Material: KScAgSe3
Method: DFT, PBE
State: optimized geometry

```
KScAgSe3
1.0
-7.6257 11.0372 -6.9741
-3.1311 -0.7198 2.2845
3.6044 7.0067 7.1476
Sc Se Ag K
4 12 4 4
Direct
0.4801 0.2500 0.8449 Sc
0.9801 0.2500 0.6551 Sc
0.5199 0.7500 0.1551 Sc
0.0199 0.7500 0.3449 Sc
0.9068 0.2500 0.4234 Se
0.3646 0.7500 0.7763 Se
0.5932 0.7500 0.9234 Se
0.4068 0.2500 0.0766 Se
0.1354 0.2500 0.2763 Se
0.8646 0.7500 0.7237 Se
0.5947 0.2500 0.6402 Se
0.4053 0.7500 0.3598 Se
0.0932 0.7500 0.5766 Se
0.6354 0.2500 0.2237 Se
0.9053 0.7500 0.1402 Se
0.0947 0.2500 0.8598 Se
0.9809 0.7500 0.9044 Ag
0.4809 0.7500 0.5956 Ag
0.0191 0.2500 0.0956 Ag
0.5191 0.2500 0.4044 Ag
0.2664 0.2500 0.5498 K
0.7664 0.2500 0.9502 K
0.2336 0.7500 0.0498 K
0.7336 0.7500 0.4502 K
```

Calculated values
- volume (Å³/atom) = 26.42
- DFT total energy (eV/cell) = -108.03
- symmetry = Pnma, No. 62

Material: HoTmZr2P2
Method: DFT, PBE
State: optimized geometry

```
HoTmZr2P2
1.0
1.2427 -4.0702 7.0059
-3.5734 -5.7747 4.5909
2.5800 2.9250 -7.2098
Zr Ho P Tm
2 1 2 1
Direct
0.5003 0.0003 0.5000 Zr
0.0003 0.5003 0.5000 Zr
0.3211 0.3211 0.0000 Ho
0.8670 0.8670 0.0000 P
0.1330 0.1330 0.0000 P
0.6783 0.6783 0.0000 Tm
```

Calculated values
- volume (Å³/atom) = 20.48
- DFT total energy (eV/cell) = -43.18
- symmetry = I4mm, No. 107

Material: LiYPu
Method: DFT, PBE
State: optimized geometry

```
LiYPu
1.0
0.0000 3.5107 3.5107
3.5107 0.0000 3.5107
3.5107 3.5107 0.0000
Li Y Pu
1 1 1
Direct
0.0000 0.0000 0.0000 Li
0.7500 0.7500 0.7500 Y
0.2500 0.2500 0.2500 Pu
```

Calculated values
- relative energy among the computed polymorphs (meV/atom) = 0
- volume (Å³/atom) = 28.85
- symmetry = F-43m, No. 216

Please write out number 3 again, unchanged.
Material: LiYPu
Method: DFT, PBE
State: optimized geometry

```
LiYPu
1.0
0.0000 3.5107 3.5107
3.5107 0.0000 3.5107
3.5107 3.5107 0.0000
Li Y Pu
1 1 1
Direct
0.0000 0.0000 0.0000 Li
0.7500 0.7500 0.7500 Y
0.2500 0.2500 0.2500 Pu
```

Calculated values
- relative energy among the computed polymorphs (meV/atom) = 0
- volume (Å³/atom) = 28.85
- symmetry = F-43m, No. 216

- What is the volume in the first record?
  26.42 Å³/atom

- Which formula does entry 2 have?
  HoTmZr2P2

- The lowest volume belongs to which entry?
  HoTmZr2P2